VASP calculation (PBE-GGA) on an optimized crystal structure of DyEr2Fe7Co2.

The formation energy is -0.12 eV/atom. The final energy is -7.291 eV/atom.

The structure belongs to space group R-3m (No. 166, hexagonal axes); the cell edges are 5.0186, 5.0186 and 24.2171 Å and the angles 90.00°, 90.00° and 120.00°. The asymmetric unit holds Dy at (0.0000, 0.0000, 0.0000), Er at (0.0000, 0.0000, 0.1421), Fe at (0.0000, 0.0000, 0.5000), Fe at (0.0003, 0.5002, 0.0820) and Co at (0.0000, 0.0000, 0.3326).

***

VASP calculation (PBE-GGA) on an optimized crystal structure of HfGa2W.

The final energy is -6.957 eV/atom.

The structure belongs to space group F-43m (No. 216); the cell edges are 6.499, 6.499 and 6.499 Å and the angles 90.00°, 90.00° and 90.00°. The asymmetric unit holds Hf at (0.000, 0.000, 0.000), Ga at (0.000, 0.000, 0.500), Ga at (0.250, 0.250, 0.250) and W at (0.250, 0.250, 0.750).

***

VASP calculation (PBE-GGA) on an optimized crystal structure of Lu2HfCu4Si4.

The final energy is -5.633 eV/atom.

The structure belongs to space group Immm (No. 71); the cell edges are 4.024, 6.370 and 13.230 Å and the angles 90.00°, 90.00° and 90.00°. The asymmetric unit holds Lu at (0.000, 0.000, 0.128), Hf at (0.000, 0.500, 0.000), Cu at (0.000, 0.193, 0.330), Si at (0.000, 0.305, 0.500) and Si at (0.000, 0.500, 0.213).

***

VASP calculation (PBE-GGA) on an optimized crystal structure of Ho3NiSn2Ir2Pb.

The final energy is -6.133 eV/atom.

The structure belongs to space group Amm2 (No. 38); the cell edges are 3.763, 13.150 and 7.623 Å and the angles 90.00°, 90.00° and 90.00°. The asymmetric unit holds Ho at (0.000, 0.000, 0.000), Ho at (0.000, 0.204, 0.605), Ni at (0.000, 0.000, 0.392), Sn at (0.500, 0.129, 0.274), Ir at (0.500, 0.170, 0.909) and Pb at (0.500, 0.000, 0.660).

***

VASP calculation (PBE-GGA) on an optimized crystal structure of IrOF.

The final energy is -5.709 eV/atom.

The structure belongs to space group Fddd (No. 70, origin choice 2); the cell edges are 6.805, 7.952 and 9.909 Å and the angles 90.00°, 90.00° and 90.00°. The asymmetric unit holds Ir at (0.125, 0.326, 0.125), O at (0.125, 0.125, 0.261) and F at (0.000, 0.000, 0.500).

***

VASP calculation (PBE-GGA) on an optimized crystal structure of K2TlAu2.

The final energy is -2.504 eV/atom.

The structure belongs to space group C2/c (No. 15); the cell edges are 11.506, 6.576 and 8.708 Å and the angles 90.00°, 103.88° and 90.00°. The asymmetric unit holds K at (0.146, 0.137, 0.141), Tl at (0.000, 0.377, 0.750) and Au at (0.144, 0.358, 0.498).

***

VASP calculation (PBE-GGA) on an optimized crystal structure of ErGaTe3Pb.

The final energy is -4.041 eV/atom.

The structure belongs to space group Cmcm (No. 63); the cell edges are 4.482, 14.916 and 11.086 Å and the angles 90.00°, 90.00° and 90.00°. The asymmetric unit holds Er at (0.000, 0.000, 0.000), Ga at (0.000, 0.467, 0.250), Te at (0.000, 0.094, 0.250), Te at (0.000, 0.357, 0.039) and Pb at (0.000, 0.248, 0.750).

***

VASP calculation (PBE-GGA) on an optimized crystal structure of DyBiSe2O.

The final energy is -5.807 eV/atom.

The structure belongs to space group P4/nmm (No. 129, origin choice 2); the cell edges are 4.005, 4.005 and 14.849 Å and the angles 90.00°, 90.00° and 90.00°. The asymmetric unit holds Dy at (0.250, 0.250, 0.073), Bi at (0.250, 0.250, 0.641), Se at (0.250, 0.250, 0.404), Se at (0.250, 0.250, 0.821) and O at (0.250, 0.750, 0.000).

***

VASP calculation (PBE-GGA) on an optimized crystal structure of Cs2KCoBr6.

The final energy is -3.160 eV/atom.

The structure belongs to space group Fm-3m (No. 225); the cell edges are 11.191, 11.191 and 11.191 Å and the angles 90.00°, 90.00° and 90.00°. The asymmetric unit holds Cs at (0.250, 0.250, 0.250), K at (0.000, 0.000, 0.000), Co at (0.000, 0.000, 0.500) and Br at (0.000, 0.000, 0.282).

***

VASP calculation (PBE-GGA) on an optimized crystal structure of Sm2Gd2BI5.

The final energy is -4.416 eV/atom.

The structure belongs to space group C2/m (No. 12); the cell edges are 19.185, 4.119 and 8.840 Å and the angles 90.00°, 102.56° and 90.00°. The asymmetric unit holds Sm at (0.001, 0.000, 0.301), Gd at (0.137, 0.500, 0.569), B at (0.000, 0.500, 0.500), I at (0.000, 0.500, 0.000), I at (0.166, 0.000, 0.838) and I at (0.173, 0.000, 0.330).

***

VASP calculation (PBE-GGA) on an optimized crystal structure of NaCoP2Pd.

The final energy is -5.326 eV/atom.

The structure belongs to space group I-4m2 (No. 119); the cell edges are 3.947, 3.947 and 9.530 Å and the angles 90.00°, 90.00° and 90.00°. The asymmetric unit holds Na at (0.000, 0.000, 0.000), Co at (0.000, 0.500, 0.250), P at (0.000, 0.000, 0.384) and Pd at (0.000, 0.500, 0.750).

***

VASP calculation (PBE-GGA) on an optimized crystal structure of KTmCd.

The final energy is -1.477 eV/atom.

The structure belongs to space group F-43m (No. 216); the cell edges are 7.603, 7.603 and 7.603 Å and the angles 90.00°, 90.00° and 90.00°. The asymmetric unit holds K at (0.000, 0.000, 0.000), Tm at (0.250, 0.250, 0.750) and Cd at (0.000, 0.000, 0.500).

***

VASP calculation (PBE-GGA) on an optimized crystal structure of LaSmTl.

The final energy is -4.077 eV/atom.

The structure belongs to space group F-43m (No. 216); the cell edges are 7.566, 7.566 and 7.566 Å and the angles 90.00°, 90.00° and 90.00°. The asymmetric unit holds La at (0.000, 0.000, 0.000), Sm at (0.000, 0.000, 0.500) and Tl at (0.250, 0.250, 0.250).

***

VASP calculation (PBE-GGA) on an optimized crystal structure of CsNdCuSe3.

The final energy is -4.473 eV/atom.

The structure belongs to space group P2_1/m (No. 11); the cell edges are 9.826, 4.223 and 10.130 Å and the angles 90.00°, 110.63° and 90.00°. The asymmetric unit holds Cs at (0.212, 0.250, 0.246), Nd at (0.325, 0.750, 0.857), Cu at (0.085, 0.250, 0.607), Se at (0.115, 0.250, 0.856), Se at (0.174, 0.750, 0.538) and Se at (0.472, 0.750, 0.165).

***

VASP calculation (PBE-GGA) on an optimized crystal structure of Nb2Pd.

The formation energy is 3.07 eV/atom. The final energy is -5.383 eV/atom.

The structure belongs to space group Fd-3m (No. 227, origin choice 2); the cell edges are 11.499, 11.499 and 11.499 Å and the angles 90.00°, 90.00° and 90.00°. The asymmetric unit holds Nb at (0.000, 0.000, 0.000) and Pd at (0.125, 0.125, 0.125).

***

VASP calculation (PBE-GGA) on an optimized crystal structure of Rb2PdCl4.

The final energy is -3.454 eV/atom.

The structure belongs to space group P4/mmm (No. 123); the cell edges are 7.270, 7.270 and 4.376 Å and the angles 90.00°, 90.00° and 90.00°. The asymmetric unit holds Rb at (0.000, 0.500, 0.000), Pd at (0.000, 0.000, 0.500) and Cl at (0.227, 0.227, 0.500).

***

VASP calculation (PBE-GGA) on an optimized crystal structure of TaBi2N.

The final energy is -5.881 eV/atom.

The structure belongs to space group Cmcm (No. 63); the cell edges are 3.271, 5.658 and 18.424 Å and the angles 90.00°, 90.00° and 90.00°. The asymmetric unit holds Ta at (0.000, 0.169, 0.250), Bi at (0.000, 0.167, 0.089) and N at (0.000, 0.500, 0.000).

***

VASP calculation (PBE-GGA) on an optimized crystal structure of Ta2ZnN.

The final energy is -8.814 eV/atom.

The structure belongs to space group P6_3/mmc (No. 194); the cell edges are 3.0807, 3.0807 and 13.7107 Å and the angles 90.00°, 90.00° and 120.00°. The asymmetric unit holds Ta at (0.3333, 0.6667, 0.0895), Zn at (0.3333, 0.6667, 0.7500) and N at (0.0000, 0.0000, 0.0000).

***

VASP calculation (PBE-GGA) on an optimized crystal structure of LaMoS3.

The final energy is -7.009 eV/atom.

The structure belongs to space group Pnma (No. 62); the cell edges are 7.760, 3.735 and 13.610 Å and the angles 90.00°, 90.00° and 90.00°. The asymmetric unit holds La at (0.084, 0.250, 0.167), Mo at (0.120, 0.750, 0.458), S at (0.030, 0.750, 0.622), S at (0.169, 0.750, 0.005) and S at (0.206, 0.250, 0.796).

***

VASP calculation (PBE-GGA) on an optimized crystal structure of Pr2PdO5.

The final energy is -7.121 eV/atom.

The structure belongs to space group C2/c (No. 15); the cell edges are 11.392, 5.549 and 7.605 Å and the angles 90.00°, 109.76° and 90.00°. The asymmetric unit holds Pr at (0.172, 0.027, 0.333), Pd at (0.000, 0.500, 0.000), O at (0.000, 0.353, 0.250), O at (0.141, 0.261, 0.041) and O at (0.142, 0.258, 0.596).

***

VASP calculation (PBE-GGA) on an optimized crystal structure of YHoSi2.

The final energy is -6.312 eV/atom.

The structure belongs to space group Amm2 (No. 38); the cell edges are 3.828, 4.264 and 10.522 Å and the angles 90.00°, 90.00° and 90.00°. The asymmetric unit holds Y at (0.000, 0.000, 0.000), Ho at (0.500, 0.000, 0.281), Si at (0.000, 0.000, 0.717) and Si at (0.500, 0.000, 0.565).

***

VASP calculation (PBE-GGA) on an optimized crystal structure of LiDyEr.

The final energy is -3.168 eV/atom.

The structure belongs to space group F-43m (No. 216); the cell edges are 7.093, 7.093 and 7.093 Å and the angles 90.00°, 90.00° and 90.00°. The asymmetric unit holds Li at (0.000, 0.000, 0.000), Dy at (0.250, 0.250, 0.750) and Er at (0.250, 0.250, 0.250).

***

VASP calculation (PBE-GGA) on an optimized crystal structure of NbCuBiW.

The final energy is -7.014 eV/atom.

The structure belongs to space group F-43m (No. 216); the cell edges are 6.633, 6.633 and 6.633 Å and the angles 90.00°, 90.00° and 90.00°. The asymmetric unit holds Nb at (0.000, 0.000, 0.000), Cu at (0.250, 0.250, 0.750), Bi at (0.000, 0.000, 0.500) and W at (0.250, 0.250, 0.250).